Here is a relaxed structure of HfHgBi from Alexandria via LeMat-Bulk. Energies are from PBE-GGA.

Lattice parameters (Å, degrees): 5.1317 5.1317 3.3149 90.00 90.00 120.00
Last column: nearest neighbours and their distance in Å.
Element x y z (fractional)
1 Hf 0.0000 0.0000 0.0000  3 Hg 2.97, 2 Hf 3.31
2 Hg 0.3333 0.6667 0.9297  3 Hf 2.97, 2 Hg 3.31
3 Bi 0.6667 0.3333 0.4680  2 Bi 3.31, 6 Hg 3.33-3.46, 6 Hf 3.34-3.45

Calculated values
* density of states at the Fermi level: 2.12 states/eV/cell
* DFT formation energy: 0.20 eV/atom